AlTeBr | PBE-GGA | relaxed

Cell and atoms, written as CIF:
```
data_AlTeBr
_space_group_name_H-M_alt 'P -1'
_space_group_IT_number 2
_cell_length_a 4.151
_cell_length_b 7.337
_cell_length_c 7.532
_cell_angle_alpha 92.98
_cell_angle_beta 90.89
_cell_angle_gamma 90.00
loop_
_space_group_symop_operation_xyz
'x,y,z'
'-x,-y,-z'
loop_
_atom_site_label
_atom_site_fract_x
_atom_site_fract_y
_atom_site_fract_z
Al1 0.002 0.170 0.056
Te1 0.497 0.338 0.892
Br1 0.011 0.248 0.355
```

# AlTeBr2, relaxed, DFT PBE-GGA
# * energy above the lowest structure with this stoichiometry: 0 meV/atom
data_AlTeBr2
_space_group_name_H-M_alt 'P 1 m 1'
_space_group_IT_number 6
_cell_length_a 6.865
_cell_length_b 3.388
_cell_length_c 7.405
_cell_angle_alpha 90.00
_cell_angle_beta 113.05
_cell_angle_gamma 90.00
loop_
_space_group_symop_operation_xyz
'x,y,z'
'x,-y,z'
loop_
_atom_site_label
_atom_site_fract_x
_atom_site_fract_y
_atom_site_fract_z
Al1 0.000 0.000 0.000
Te1 0.952 0.500 0.277
Br1 0.238 0.500 0.945
Br2 0.696 0.000 0.720

AlTeBr4 | PBE-GGA | relaxed

Cell and atoms, written as CIF:
```
data_AlTeBr4
_space_group_name_H-M_alt 'F -4 3 m'
_space_group_IT_number 216
_space_group_name_Hall 'F -4 2 3'
_cell_length_a 9.077
_cell_length_b 9.077
_cell_length_c 9.077
_cell_angle_alpha 90.00
_cell_angle_beta 90.00
_cell_angle_gamma 90.00
loop_
_atom_site_label
_atom_site_fract_x
_atom_site_fract_y
_atom_site_fract_z
Al1 0.000 0.000 0.000
Te1 0.250 0.250 0.250
Br1 0.125 0.125 0.625
```

# AlTeBr2, relaxed, DFT PBE-GGA
# * energy above the lowest structure with this stoichiometry: 303 meV/atom
data_AlTeBr2
_space_group_name_H-M_alt 'R 3 m'
_space_group_IT_number 160
_space_group_name_Hall 'R 3 -2"'
_cell_length_a 4.0555
_cell_length_b 4.0555
_cell_length_c 25.5171
_cell_angle_alpha 90.00
_cell_angle_beta 90.00
_cell_angle_gamma 120.00
loop_
_atom_site_label
_atom_site_fract_x
_atom_site_fract_y
_atom_site_fract_z
Al1 0.0000 0.0000 0.0000
Te1 0.0000 0.0000 0.2804
Br1 0.0000 0.0000 0.5277
Br2 0.0000 0.0000 0.7299

AlTeBr | PBE-GGA | relaxed

Cell and atoms, written as CIF:
```
data_AlTeBr
_space_group_name_H-M_alt 'C 1 m 1'
_space_group_IT_number 8
_cell_length_a 7.192
_cell_length_b 4.153
_cell_length_c 7.349
_cell_angle_alpha 90.00
_cell_angle_beta 90.45
_cell_angle_gamma 90.00
loop_
_space_group_symop_operation_xyz
'x,y,z'
'x,-y,z'
'x+1/2,y+1/2,z'
'x+1/2,-y+1/2,z'
loop_
_atom_site_label
_atom_site_fract_x
_atom_site_fract_y
_atom_site_fract_z
Al1 0.000 0.000 0.000
Te1 0.165 0.500 0.833
Br1 0.004 0.000 0.308
```

# AlTeBr2, relaxed, DFT PBE-GGA
# * energy above the lowest structure with this stoichiometry: 329 meV/atom
data_AlTeBr2
_space_group_name_H-M_alt 'I m m m'
_space_group_IT_number 71
_space_group_name_Hall '-I 2 2'
_cell_length_a 3.290
_cell_length_b 6.469
_cell_length_c 11.291
_cell_angle_alpha 90.00
_cell_angle_beta 90.00
_cell_angle_gamma 90.00
loop_
_atom_site_label
_atom_site_fract_x
_atom_site_fract_y
_atom_site_fract_z
Al1 0.000 0.000 0.000
Te1 0.000 0.000 0.500
Br1 0.000 0.500 0.337

# AlTeBr2, relaxed, DFT PBE-GGA
# * energy above the lowest structure with this stoichiometry: 659 meV/atom
data_AlTeBr2
_space_group_name_H-M_alt 'I -4 m 2'
_space_group_IT_number 119
_space_group_name_Hall 'I -4 -2'
_cell_length_a 4.183
_cell_length_b 4.183
_cell_length_c 13.894
_cell_angle_alpha 90.00
_cell_angle_beta 90.00
_cell_angle_gamma 90.00
loop_
_atom_site_label
_atom_site_fract_x
_atom_site_fract_y
_atom_site_fract_z
Al1 0.000 0.000 0.000
Te1 0.000 0.500 0.250
Br1 0.000 0.000 0.500
Br2 0.000 0.500 0.750

# AlTeBr2, relaxed, DFT PBE-GGA
# * energy above the lowest structure with this stoichiometry: 371 meV/atom
data_AlTeBr2
_space_group_name_H-M_alt 'C 1 2/m 1'
_space_group_IT_number 12
_cell_length_a 5.666
_cell_length_b 4.015
_cell_length_c 9.833
_cell_angle_alpha 90.00
_cell_angle_beta 101.87
_cell_angle_gamma 90.00
loop_
_space_group_symop_operation_xyz
'x,y,z'
'-x,-y,-z'
'-x,y,-z'
'x,-y,z'
'x+1/2,y+1/2,z'
'-x+1/2,-y+1/2,-z'
'-x+1/2,y+1/2,-z'
'x+1/2,-y+1/2,z'
loop_
_atom_site_label
_atom_site_fract_x
_atom_site_fract_y
_atom_site_fract_z
Al1 0.000 0.000 0.000
Te1 0.000 0.000 0.500
Br1 0.085 0.500 0.837

# AlTeBr2, relaxed, DFT PBE-GGA
# * energy above the lowest structure with this stoichiometry: 606 meV/atom
data_AlTeBr2
_space_group_name_H-M_alt 'C 1 2/m 1'
_space_group_IT_number 12
_cell_length_a 6.768
_cell_length_b 9.372
_cell_length_c 4.959
_cell_angle_alpha 90.00
_cell_angle_beta 132.62
_cell_angle_gamma 90.00
loop_
_space_group_symop_operation_xyz
'x,y,z'
'-x,-y,-z'
'-x,y,-z'
'x,-y,z'
'x+1/2,y+1/2,z'
'-x+1/2,-y+1/2,-z'
'-x+1/2,y+1/2,-z'
'x+1/2,-y+1/2,z'
loop_
_atom_site_label
_atom_site_fract_x
_atom_site_fract_y
_atom_site_fract_z
Al1 0.000 0.000 0.000
Te1 0.000 0.500 0.000
Br1 0.250 0.250 0.500

AlTeBr | PBE-GGA | relaxed

Cell and atoms, written as CIF:
```
data_AlTeBr
_space_group_name_H-M_alt 'I m m 2'
_space_group_IT_number 44
_cell_length_a 3.344
_cell_length_b 8.844
_cell_length_c 8.290
_cell_angle_alpha 90.00
_cell_angle_beta 90.00
_cell_angle_gamma 90.00
loop_
_space_group_symop_operation_xyz
'x,y,z'
'-x,-y,z'
'-x,y,z'
'x,-y,z'
'x+1/2,y+1/2,z+1/2'
'-x+1/2,-y+1/2,z+1/2'
'-x+1/2,y+1/2,z+1/2'
'x+1/2,-y+1/2,z+1/2'
loop_
_atom_site_label
_atom_site_fract_x
_atom_site_fract_y
_atom_site_fract_z
Al1 0.000 0.000 0.000
Te1 0.000 0.000 0.304
Br1 0.000 0.000 0.724
```

AlTeBr | PBE-GGA | relaxed

Cell and atoms, written as CIF:
```
data_AlTeBr
_space_group_name_H-M_alt 'P 1'
_space_group_IT_number 1
_cell_length_a 4.092
_cell_length_b 6.965
_cell_length_c 8.054
_cell_angle_alpha 91.83
_cell_angle_beta 104.17
_cell_angle_gamma 90.21
loop_
_space_group_symop_operation_xyz
'x,y,z'
loop_
_atom_site_label
_atom_site_fract_x
_atom_site_fract_y
_atom_site_fract_z
Al1 0.000 0.000 0.000
Al2 0.151 0.128 0.314
Te1 0.264 0.877 0.551
Te2 0.414 0.149 0.819
Br1 0.676 0.347 0.368
Br2 0.987 0.668 0.979
```

# AlTeBr2, relaxed, DFT PBE-GGA
# * energy above the lowest structure with this stoichiometry: 912 meV/atom
data_AlTeBr2
_space_group_name_H-M_alt 'F m -3 m'
_space_group_IT_number 225
_space_group_name_Hall '-F 4 2 3'
_cell_length_a 7.677
_cell_length_b 7.677
_cell_length_c 7.677
_cell_angle_alpha 90.00
_cell_angle_beta 90.00
_cell_angle_gamma 90.00
loop_
_atom_site_label
_atom_site_fract_x
_atom_site_fract_y
_atom_site_fract_z
Al1 0.000 0.000 0.000
Te1 0.000 0.000 0.500
Br1 0.250 0.250 0.250

Number 1: formation energy from raw total energies -550 meV/atom. Number 2: formation energy from raw total energies -593 meV/atom. Number 3: formation energy from raw total energies 634 meV/atom. Number 4: formation energy from raw total energies -290 meV/atom. Number 5: formation energy from raw total energies -754 meV/atom. Number 6: formation energy from raw total energies -264 meV/atom. Number 7: formation energy from raw total energies 66 meV/atom. Number 8: formation energy from raw total energies -223 meV/atom. Number 9: formation energy from raw total energies 13 meV/atom. Number 10: formation energy from raw total energies 67 meV/atom. Number 11: formation energy from raw total energies -484 meV/atom. Number 12: formation energy from raw total energies 319 meV/atom.